No. 1
DFT (GGA-PBE) results for a geometry-optimized RbDySe structure.

Lattice parameters (Å, degrees): 4.9760 4.9760 11.3379 90.00 90.00 90.00
Space group P4/nmm (No. 129, origin choice 2)
Inequivalent atoms, fractional coordinates:
Rb 0.2500 0.2500 0.1705 (multiplicity 2)
Dy 0.2500 0.7500 0.5000 (multiplicity 2)
Se 0.2500 0.2500 0.6196 (multiplicity 2)

Calculated values
Crystal system ... tetragonal
Spin magnetization ... 0.0000 μB/atom
Formation energy from raw total energies ... -913 meV per atom

---

No. 2
DFT (GGA-PBE) results for a geometry-optimized RbDy5Se8 structure.

Lattice parameters (Å, degrees): 21.3121 4.1508 10.1016 90.00 104.45 90.00
Space group Cm (No. 8)
Inequivalent atoms, fractional coordinates:
Rb 0.0000 0.0000 0.0000 (multiplicity 2)
Dy 0.0002 0.5000 0.4994 (multiplicity 2)
Dy 0.1554 0.0000 0.4503 (multiplicity 2)
Dy 0.2036 0.0000 0.8403 (multiplicity 2)
Dy 0.2967 0.5000 0.1582 (multiplicity 2)
Dy 0.3451 0.5000 0.5484 (multiplicity 2)
Se 0.0786 0.0000 0.6479 (multiplicity 2)
Se 0.0802 0.5000 0.3056 (multiplicity 2)
Se 0.1685 0.5000 0.9935 (multiplicity 2)
Se 0.2297 0.5000 0.6451 (multiplicity 2)
Se 0.2708 0.0000 0.3535 (multiplicity 2)
Se 0.3318 0.0000 0.0050 (multiplicity 2)
Se 0.4203 0.0000 0.6932 (multiplicity 2)
Se 0.4218 0.5000 0.3507 (multiplicity 2)

Calculated values
Crystal system ... monoclinic
Spin magnetization ... 0.0000 μB/atom
Formation energy from raw total energies ... -1839 meV per atom

---

No. 3
DFT (GGA-PBE) results for a geometry-optimized RbDy2Se3 structure.

Lattice parameters (Å, degrees): 4.5800 15.8746 11.0955 90.00 90.00 90.00
Space group Cmcm (No. 63)
Inequivalent atoms, fractional coordinates:
Rb 0.0000 0.2416 0.2500 (multiplicity 4)
Dy 0.0000 0.0273 0.7500 (multiplicity 4)
Dy 0.0000 0.5000 0.0000 (multiplicity 4)
Se 0.0000 0.1181 0.5429 (multiplicity 8)
Se 0.0000 0.4346 0.7500 (multiplicity 4)

Calculated values
Crystal system ... orthorhombic
Spin magnetization ... 0.0001 μB/atom
Formation energy from raw total energies ... -1533 meV per atom

---

No. 4
DFT (GGA-PBE) results for a geometry-optimized RbDySe4 structure.

Lattice parameters (Å, degrees): 6.2956 6.2956 8.7016 90.00 90.00 90.00
Space group P4/nbm (No. 125, origin choice 2)
Inequivalent atoms, fractional coordinates:
Rb 0.2500 0.2500 0.0000 (multiplicity 2)
Dy 0.2500 0.2500 0.5000 (multiplicity 2)
Se 0.1131 0.6131 0.3021 (multiplicity 8)

Calculated values
Crystal system ... tetragonal
Spin magnetization ... 0.0000 μB/atom
Formation energy from raw total energies ... -1158 meV per atom

---

No. 5
DFT (GGA-PBE) results for a geometry-optimized Rb3Sm2DySe6 structure.

Lattice parameters (Å, degrees): 7.4462 12.8980 8.3839 90.00 107.23 90.00
Space group C2/m (No. 12)
Inequivalent atoms, fractional coordinates:
Rb 0.0000 0.0000 0.0000 (multiplicity 2)
Rb 0.0000 0.3323 0.0000 (multiplicity 4)
Sm 0.0000 0.1665 0.5000 (multiplicity 4)
Dy 0.0000 0.5000 0.5000 (multiplicity 2)
Se 0.2300 0.3358 0.6977 (multiplicity 8)
Se 0.2377 0.0000 0.6980 (multiplicity 4)

Calculated values
Crystal system ... monoclinic
Spin magnetization ... 0.0000 μB/atom
Formation energy from raw total energies ... -1738 meV per atom

---

No. 6
DFT (GGA-PBE) results for a geometry-optimized Rb2DySnSe4 structure.

Lattice parameters (Å, degrees): 7.4223 4.2233 8.3555 90.00 106.74 90.00
Space group P2/m (No. 10)
Inequivalent atoms, fractional coordinates:
Rb 0.0000 0.0000 0.0000 (multiplicity 1)
Rb 0.5000 0.5000 0.0000 (multiplicity 1)
Dy 0.0000 0.5000 0.5000 (multiplicity 1)
Sn 0.5000 0.0000 0.5000 (multiplicity 1)
Se 0.2302 0.0000 0.6944 (multiplicity 2)
Se 0.2657 0.5000 0.3057 (multiplicity 2)

Calculated values
Crystal system ... monoclinic
Spin magnetization ... 0.0000 μB/atom
Formation energy from raw total energies ... -1215 meV per atom

---

No. 7
DFT (GGA-PBE) results for a geometry-optimized Rb4Dy3SnSe8 structure.

Lattice parameters (Å, degrees): 8.5064 8.5064 23.9665 90.00 90.00 120.00
Space group R-3m (No. 166, hexagonal axes)
Inequivalent atoms, fractional coordinates:
Rb 0.0000 0.0000 0.0000 (multiplicity 3)
Rb 0.0000 0.5000 0.0000 (multiplicity 9)
Dy 0.0000 0.5000 0.5000 (multiplicity 9)
Sn 0.0000 0.0000 0.5000 (multiplicity 3)
Se 0.0000 0.0000 0.2320 (multiplicity 6)
Se 0.0012 0.5006 0.7687 (multiplicity 18)

Calculated values
Crystal system ... trigonal
Spin magnetization ... 0.0000 μB/atom
Formation energy from raw total energies ... -1478 meV per atom

---

No. 8
DFT (GGA-PBE) results for a geometry-optimized RbDySnSe3 structure.

Lattice parameters (Å, degrees): 4.1315 17.4245 11.8977 90.00 90.00 90.00
Space group Cmcm (No. 63)
Inequivalent atoms, fractional coordinates:
Rb 0.0000 0.1884 0.2500 (multiplicity 4)
Dy 0.0000 0.5000 0.0000 (multiplicity 4)
Sn 0.0000 0.1125 0.7500 (multiplicity 4)
Se 0.0000 0.1123 0.5045 (multiplicity 8)
Se 0.0000 0.4944 0.2500 (multiplicity 4)

Calculated values
Crystal system ... orthorhombic
Spin magnetization ... 0.0000 μB/atom
Formation energy from raw total energies ... -1185 meV per atom

---

No. 9
DFT (GGA-PBE) results for a geometry-optimized RbDy2Sn3Se6 structure.

Lattice parameters (Å, degrees): 18.6696 4.1122 9.4283 90.00 98.86 90.00
Space group C2/m (No. 12)
Inequivalent atoms, fractional coordinates:
Rb 0.0000 0.0000 0.0000 (multiplicity 2)
Dy 0.1717 0.5000 0.3423 (multiplicity 4)
Sn 0.0000 0.0000 0.5000 (multiplicity 2)
Sn 0.1638 0.5000 0.8245 (multiplicity 4)
Se 0.0226 0.5000 0.2853 (multiplicity 4)
Se 0.1676 0.0000 0.5626 (multiplicity 4)
Se 0.1884 0.0000 0.1351 (multiplicity 4)

Calculated values
Crystal system ... monoclinic
Spin magnetization ... 0.0001 μB/atom
Formation energy from raw total energies ... -1013 meV per atom

---

No. 10
DFT (GGA-PBE) results for a geometry-optimized Rb2Dy2SnSe6 structure.

Lattice parameters (Å, degrees): 7.1465 12.3488 8.6104 90.00 106.43 90.00
Space group C2/m (No. 12)
Inequivalent atoms, fractional coordinates:
Rb 0.0000 0.1695 0.0000 (multiplicity 4)
Dy 0.0000 0.3317 0.5000 (multiplicity 4)
Sn 0.0000 0.0000 0.5000 (multiplicity 2)
Se 0.2276 0.1603 0.6913 (multiplicity 8)
Se 0.2469 0.5000 0.6878 (multiplicity 4)

Calculated values
Crystal system ... monoclinic
Spin magnetization ... 0.0000 μB/atom
Formation energy from raw total energies ... -1340 meV per atom

---

No. 11
DFT (GGA-PBE) results for a geometry-optimized Rb3Dy2SnSe6 structure.

Lattice parameters (Å, degrees): 7.3758 12.7756 8.3527 90.00 107.10 90.00
Space group C2/m (No. 12)
Inequivalent atoms, fractional coordinates:
Rb 0.0000 0.0000 0.0000 (multiplicity 2)
Rb 0.0000 0.3343 0.0000 (multiplicity 4)
Dy 0.0000 0.1668 0.5000 (multiplicity 4)
Sn 0.0000 0.5000 0.5000 (multiplicity 2)
Se 0.2296 0.0000 0.6946 (multiplicity 4)
Se 0.2326 0.3324 0.6948 (multiplicity 8)

Calculated values
Crystal system ... monoclinic
Spin magnetization ... 0.0000 μB/atom
Formation energy from raw total energies ... -1382 meV per atom

---

No. 12
DFT (GGA-PBE) results for a geometry-optimized Rb3SrDy2Se6 structure.

Lattice parameters (Å, degrees): 7.5082 13.0096 8.4159 90.00 107.38 90.00
Space group C2/m (No. 12)
Inequivalent atoms, fractional coordinates:
Rb 0.0000 0.0000 0.0000 (multiplicity 2)
Rb 0.0000 0.3383 0.0000 (multiplicity 4)
Sr 0.0000 0.5000 0.5000 (multiplicity 2)
Dy 0.0000 0.1671 0.5000 (multiplicity 4)
Se 0.2114 0.0000 0.6980 (multiplicity 4)
Se 0.2444 0.3225 0.6996 (multiplicity 8)

Calculated values
Crystal system ... monoclinic
Spin magnetization ... 0.0000 μB/atom
Formation energy from raw total energies ... -1595 meV per atom

---

No. 13
DFT (GGA-PBE) results for a geometry-optimized Rb3TbDy2Se6 structure.

Lattice parameters (Å, degrees): 7.3566 12.7423 8.3640 90.00 107.05 90.00
Space group C2/m (No. 12)
Inequivalent atoms, fractional coordinates:
Rb 0.0000 0.0000 0.0000 (multiplicity 2)
Rb 0.0000 0.3335 0.0000 (multiplicity 4)
Tb 0.0000 0.5000 0.5000 (multiplicity 2)
Dy 0.0000 0.1667 0.5000 (multiplicity 4)
Se 0.2309 0.0000 0.6957 (multiplicity 4)
Se 0.2325 0.3328 0.6957 (multiplicity 8)

Calculated values
Crystal system ... monoclinic
Spin magnetization ... 0.0000 μB/atom
Formation energy from raw total energies ... -1741 meV per atom

---

No. 14
DFT (GGA-PBE) results for a geometry-optimized Rb4Tb3DySe8 structure.

Lattice parameters (Å, degrees): 8.5106 8.5106 23.9920 90.00 90.00 120.00
Space group R-3m (No. 166, hexagonal axes)
Inequivalent atoms, fractional coordinates:
Rb 0.0000 0.0000 0.0000 (multiplicity 3)
Rb 0.0000 0.5000 0.0000 (multiplicity 9)
Tb 0.0000 0.5000 0.5000 (multiplicity 9)
Dy 0.0000 0.0000 0.5000 (multiplicity 3)
Se 0.0000 0.0000 0.2321 (multiplicity 6)
Se 0.0010 0.5005 0.2320 (multiplicity 18)

Calculated values
Crystal system ... trigonal
Spin magnetization ... 0.0000 μB/atom
Formation energy from raw total energies ... -1742 meV per atom

---

No. 15
DFT (GGA-PBE) results for a geometry-optimized RbTb4DySe8 structure.

Lattice parameters (Å, degrees): 8.6759 8.6759 21.1804 90.00 90.00 120.00
Space group R3m (No. 160, hexagonal axes)
Inequivalent atoms, fractional coordinates:
Rb 0.0000 0.0000 0.0000 (multiplicity 3)
Tb 0.0000 0.0000 0.2491 (multiplicity 3)
Tb 0.1730 0.3461 0.4560 (multiplicity 9)
Dy 0.0000 0.0000 0.6288 (multiplicity 3)
Se 0.0000 0.0000 0.3816 (multiplicity 3)
Se 0.0000 0.0000 0.8568 (multiplicity 3)
Se 0.0482 0.5241 0.3797 (multiplicity 9)
Se 0.1766 0.3533 0.2053 (multiplicity 9)

Calculated values
Crystal system ... trigonal
Spin magnetization ... 0.0000 μB/atom
Formation energy from raw total energies ... -1725 meV per atom

---

No. 16
DFT (GGA-PBE) results for a geometry-optimized RbTbDy4Se8 structure.

Lattice parameters (Å, degrees): 8.6334 8.6334 21.2398 90.00 90.00 120.00
Space group R3m (No. 160, hexagonal axes)
Inequivalent atoms, fractional coordinates:
Rb 0.0000 0.0000 0.0000 (multiplicity 3)
Tb 0.0000 0.0000 0.6311 (multiplicity 3)
Dy 0.0000 0.0000 0.2513 (multiplicity 3)
Dy 0.1729 0.3458 0.4578 (multiplicity 9)
Se 0.0000 0.0000 0.3834 (multiplicity 3)
Se 0.0000 0.0000 0.8579 (multiplicity 3)
Se 0.0465 0.5233 0.3826 (multiplicity 9)
Se 0.1761 0.3523 0.2069 (multiplicity 9)

Calculated values
Crystal system ... trigonal
Spin magnetization ... 0.0000 μB/atom
Formation energy from raw total energies ... -1721 meV per atom

---

No. 17
DFT (GGA-PBE) results for a geometry-optimized RbDyTeSe structure.

Lattice parameters (Å, degrees): 4.3519 4.3519 25.3302 90.00 90.00 120.00
Space group R3m (No. 160, hexagonal axes)
Inequivalent atoms, fractional coordinates:
Rb 0.0000 0.0000 0.0000 (multiplicity 3)
Dy 0.0000 0.0000 0.1600 (multiplicity 3)
Te 0.0000 0.0000 0.5646 (multiplicity 3)
Se 0.0000 0.0000 0.7673 (multiplicity 3)

Calculated values
Crystal system ... trigonal
Spin magnetization ... 0.0000 μB/atom
Formation energy from raw total energies ... -1528 meV per atom

---

No. 18
DFT (GGA-PBE) results for a geometry-optimized Rb2Dy2Te2Se structure.

Lattice parameters (Å, degrees): 5.4286 5.4286 18.2327 90.00 90.00 90.00
Space group I4/mmm (No. 139)
Inequivalent atoms, fractional coordinates:
Rb 0.0000 0.0000 0.1855 (multiplicity 4)
Dy 0.0000 0.5000 0.0000 (multiplicity 4)
Te 0.0000 0.0000 0.3928 (multiplicity 4)
Se 0.0000 0.0000 0.0000 (multiplicity 2)

Calculated values
Crystal system ... tetragonal
Spin magnetization ... 0.0021 μB/atom
Formation energy from raw total energies ... -1135 meV per atom

---

No. 19
DFT (GGA-PBE) results for a geometry-optimized Rb3Dy2ThSe6 structure.

Lattice parameters (Å, degrees): 7.3645 12.7567 8.4142 90.00 106.97 90.00
Space group C2/m (No. 12)
Inequivalent atoms, fractional coordinates:
Rb 0.0000 0.0000 0.0000 (multiplicity 2)
Rb 0.0000 0.3335 0.0000 (multiplicity 4)
Dy 0.0000 0.1667 0.5000 (multiplicity 4)
Th 0.0000 0.5000 0.5000 (multiplicity 2)
Se 0.2298 0.0000 0.6993 (multiplicity 4)
Se 0.2347 0.3317 0.6993 (multiplicity 8)

Calculated values
Crystal system ... monoclinic
Spin magnetization ... 0.0000 μB/atom
Formation energy from raw total energies ... -1661 meV per atom

---

No. 20
DFT (GGA-PBE) results for a geometry-optimized Rb2DyThSe4 structure.

Lattice parameters (Å, degrees): 7.3814 4.2554 8.4371 90.00 106.81 90.00
Space group P2/m (No. 10)
Inequivalent atoms, fractional coordinates:
Rb 0.0000 0.0000 0.0000 (multiplicity 1)
Rb 0.5000 0.5000 0.0000 (multiplicity 1)
Dy 0.0000 0.5000 0.5000 (multiplicity 1)
Th 0.5000 0.0000 0.5000 (multiplicity 1)
Se 0.2296 0.0000 0.6987 (multiplicity 2)
Se 0.2603 0.5000 0.2962 (multiplicity 2)

Calculated values
Crystal system ... monoclinic
Spin magnetization ... 0.0000 μB/atom
Formation energy from raw total energies ... -1621 meV per atom

---

No. 21
DFT (GGA-PBE) results for a geometry-optimized Rb3DyTh3Se8 structure.

Lattice parameters (Å, degrees): 8.4868 8.4868 24.7363 90.00 90.00 120.00
Space group R-3m (No. 166, hexagonal axes)
Inequivalent atoms, fractional coordinates:
Rb 0.0000 0.5000 0.0000 (multiplicity 9)
Dy 0.0000 0.0000 0.5000 (multiplicity 3)
Th 0.0000 0.5000 0.5000 (multiplicity 9)
Se 0.0000 0.0000 0.2358 (multiplicity 6)
Se 0.0042 0.5021 0.2323 (multiplicity 18)

Calculated values
Crystal system ... trigonal
Spin magnetization ... 0.0000 μB/atom
Formation energy from raw total energies ... -1628 meV per atom